(1)
A plane-wave DFT calculation with GGA-PBE was carried out for a relaxed structure of NbCoOs3.

Computed properties:
Energy of formation from the pure elements ... 1234.4 kJ/mol of formula units
E above lowest polymorph ... 1109.3 meV per atom

Cell lengths 4.721, 4.721, 4.721 Å; angles 90.00, 90.00, 90.00 degrees
Space group Pm-3m (No. 221)
Asymmetric unit:
Nb: 0.000 0.000 0.000 [1 per cell]
Co: 0.500 0.500 0.500 [1 per cell]
Os: 0.000 0.000 0.500 [3 per cell]



(2)
A plane-wave DFT calculation with GGA-PBE was carried out for a relaxed structure of Nb2Co4Os.

Computed properties:
Energy of formation from the pure elements ... 764.3 kJ/mol of formula units

Cell lengths 4.413, 4.413, 12.283 Å; angles 90.00, 90.00, 90.00 degrees
Space group I4/mmm (No. 139)
Asymmetric unit:
Nb: 0.000 0.000 0.116 [4 per cell]
Co: 0.000 0.000 0.302 [4 per cell]
Co: 0.000 0.500 0.000 [4 per cell]
Os: 0.000 0.000 0.500 [2 per cell]



(3)
A plane-wave DFT calculation with GGA-PBE was carried out for a relaxed structure of NbCo2Os.

Computed properties:
Energy of formation from the pure elements ... 204.8 kJ/mol of formula units

Cell lengths 3.692, 3.692, 17.431 Å; angles 90.00, 90.00, 90.00 degrees
Space group I-42d (No. 122)
Asymmetric unit:
Nb: 0.000 0.000 0.000 [4 per cell]
Co: 0.220 0.250 0.625 [8 per cell]
Os: 0.000 0.000 0.500 [4 per cell]



(4)
A plane-wave DFT calculation with GGA-PBE was carried out for a relaxed structure of NbCoOs3.

Computed properties:
Energy of formation from the pure elements ... 699.3 kJ/mol of formula units
E above lowest polymorph ... 0.0 meV per atom

Cell lengths 4.390, 4.390, 4.390 Å; angles 90.00, 90.00, 90.00 degrees
Space group Pm-3m (No. 221)
Asymmetric unit:
Nb: 0.000 0.000 0.000 [1 per cell]
Co: 0.500 0.500 0.500 [1 per cell]
Os: 0.000 0.500 0.500 [3 per cell]



(5)
A plane-wave DFT calculation with GGA-PBE was carried out for a relaxed structure of NbCo3Os.

Computed properties:
Energy of formation from the pure elements ... 689.3 kJ/mol of formula units
E above lowest polymorph ... 0.0 meV per atom

Cell lengths 4.374, 4.374, 4.374 Å; angles 90.00, 90.00, 90.00 degrees
Space group Pm-3m (No. 221)
Asymmetric unit:
Nb: 0.000 0.000 0.000 [1 per cell]
Co: 0.000 0.500 0.500 [3 per cell]
Os: 0.500 0.500 0.500 [1 per cell]



(6)
A plane-wave DFT calculation with GGA-PBE was carried out for a relaxed structure of Nb2CoOs.

Computed properties:
Energy of formation from the pure elements ... 165.6 kJ/mol of formula units

Cell lengths 6.942, 6.942, 5.416 Å; angles 90.00, 90.00, 90.00 degrees
Space group I-42d (No. 122)
Asymmetric unit:
Nb: 0.236 0.250 0.125 [8 per cell]
Co: 0.000 0.000 0.000 [4 per cell]
Os: 0.000 0.000 0.500 [4 per cell]



(7)
A plane-wave DFT calculation with GGA-PBE was carried out for a relaxed structure of Nb2Co2Os.

Computed properties:
Energy of formation from the pure elements ... -57.5 kJ/mol of formula units

Cell lengths 6.686, 6.686, 3.191 Å; angles 90.00, 90.00, 90.00 degrees
Space group P4/mbm (No. 127)
Asymmetric unit:
Nb: 0.180 0.320 0.000 [4 per cell]
Co: 0.122 0.622 0.500 [4 per cell]
Os: 0.000 0.000 0.500 [2 per cell]



(8)
A plane-wave DFT calculation with GGA-PBE was carried out for a relaxed structure of Nb3Co3Os.

Computed properties:
Energy of formation from the pure elements ... -20.8 kJ/mol of formula units

Cell lengths 4.039, 8.985, 11.395 Å; angles 90.00, 90.00, 90.00 degrees
Space group Cmcm (No. 63)
Asymmetric unit:
Nb: 0.000 0.004 0.250 [4 per cell]
Nb: 0.000 0.294 0.105 [8 per cell]
Co: 0.000 0.262 0.750 [4 per cell]
Co: 0.000 0.415 0.595 [8 per cell]
Os: 0.000 0.000 0.000 [4 per cell]



(9)
A plane-wave DFT calculation with GGA-PBE was carried out for a relaxed structure of NbCo2Os.

Computed properties:
Energy of formation from the pure elements ... -40.7 kJ/mol of formula units

Cell lengths 3.770, 3.770, 3.719 Å; angles 90.00, 90.00, 90.00 degrees
Space group P4/mmm (No. 123)
Asymmetric unit:
Nb: 0.000 0.000 0.000 [1 per cell]
Co: 0.000 0.500 0.500 [2 per cell]
Os: 0.500 0.500 0.000 [1 per cell]



(10)
A plane-wave DFT calculation with GGA-PBE was carried out for a relaxed structure of Nb2CoOs.

Computed properties:
Energy of formation from the pure elements ... 71.8 kJ/mol of formula units

Cell lengths 2.8453, 2.8453, 26.5874 Å; angles 90.00, 90.00, 120.00 degrees
Space group R-3m (No. 166, hexagonal axes)
Asymmetric unit:
Nb: 0.0000 0.0000 0.2469 [6 per cell]
Co: 0.0000 0.0000 0.5000 [3 per cell]
Os: 0.0000 0.0000 0.0000 [3 per cell]



(11)
A plane-wave DFT calculation with GGA-PBE was carried out for a relaxed structure of NbCo2Os.

Computed properties:
Energy of formation from the pure elements ... -46.5 kJ/mol of formula units

Cell lengths 4.264, 5.347, 4.629 Å; angles 90.00, 90.00, 90.00 degrees
Space group Pmmn (No. 59, origin choice 2)
Asymmetric unit:
Nb: 0.250 0.250 0.167 [2 per cell]
Co: 0.250 0.003 0.661 [4 per cell]
Os: 0.250 0.750 0.194 [2 per cell]



(12)
A plane-wave DFT calculation with GGA-PBE was carried out for a relaxed structure of Nb2CoOs.

Computed properties:
Energy of formation from the pure elements ... -37.2 kJ/mol of formula units

Cell lengths 4.484, 4.484, 3.116 Å; angles 90.00, 90.00, 90.00 degrees
Space group P4/mmm (No. 123)
Asymmetric unit:
Nb: 0.000 0.500 0.000 [2 per cell]
Co: 0.000 0.000 0.500 [1 per cell]
Os: 0.500 0.500 0.500 [1 per cell]



(13)
A plane-wave DFT calculation with GGA-PBE was carried out for a relaxed structure of NbCo4Os.

Computed properties:
Energy of formation from the pure elements ... -38.3 kJ/mol of formula units

Cell lengths 6.685, 6.685, 6.685 Å; angles 90.00, 90.00, 90.00 degrees
Space group F-43m (No. 216)
Asymmetric unit:
Nb: 0.000 0.000 0.000 [4 per cell]
Co: 0.125 0.125 0.375 [16 per cell]
Os: 0.250 0.250 0.750 [4 per cell]



(14)
A plane-wave DFT calculation with GGA-PBE was carried out for a relaxed structure of Nb2CoOs.

Computed properties:
Energy of formation from the pure elements ... -36.5 kJ/mol of formula units

Cell lengths 3.077, 3.077, 6.568 Å; angles 90.00, 90.00, 90.00 degrees
Space group P4/mmm (No. 123)
Asymmetric unit:
Nb: 0.000 0.000 0.240 [2 per cell]
Co: 0.500 0.500 0.000 [1 per cell]
Os: 0.500 0.500 0.500 [1 per cell]



(15)
A plane-wave DFT calculation with GGA-PBE was carried out for a relaxed structure of PuNbCoOs.

Computed properties:
Energy of formation from the pure elements ... 33.6 kJ/mol of formula units

Cell lengths 6.486, 6.486, 6.486 Å; angles 90.00, 90.00, 90.00 degrees
Space group F-43m (No. 216)
Asymmetric unit:
Pu: 0.000 0.000 0.000 [4 per cell]
Nb: 0.000 0.000 0.500 [4 per cell]
Co: 0.250 0.250 0.250 [4 per cell]
Os: 0.250 0.250 0.750 [4 per cell]



(16)
A plane-wave DFT calculation with GGA-PBE was carried out for a relaxed structure of RbNbCoOs2.

Computed properties:
Energy of formation from the pure elements ... 1181.4 kJ/mol of formula units

Cell lengths 4.779, 4.779, 5.637 Å; angles 90.00, 90.00, 90.00 degrees
Space group P4/mmm (No. 123)
Asymmetric unit:
Rb: 0.000 0.000 0.000 [1 per cell]
Nb: 0.000 0.000 0.500 [1 per cell]
Co: 0.500 0.500 0.000 [1 per cell]
Os: 0.000 0.500 0.500 [2 per cell]



(17)
A plane-wave DFT calculation with GGA-PBE was carried out for a relaxed structure of Nb2CoOsS.

Computed properties:
Energy relative to the elements, uncorrected ... 652 meV/atom

Cell lengths 4.513, 4.513, 4.275 Å; angles 90.00, 90.00, 90.00 degrees
Space group P4/mmm (No. 123)
Asymmetric unit:
Nb: 0.000 0.500 0.000 [2 per cell]
Co: 0.000 0.000 0.500 [1 per cell]
Os: 0.500 0.500 0.500 [1 per cell]
S: 0.500 0.500 0.000 [1 per cell]



(18)
A plane-wave DFT calculation with GGA-PBE was carried out for a relaxed structure of TbNbCoOs.

Computed properties:
Energy of formation from the pure elements ... -17.8 kJ/mol of formula units

Cell lengths 6.522, 6.522, 6.522 Å; angles 90.00, 90.00, 90.00 degrees
Space group F-43m (No. 216)
Asymmetric unit:
Tb: 0.000 0.000 0.000 [4 per cell]
Nb: 0.000 0.000 0.500 [4 per cell]
Co: 0.250 0.250 0.750 [4 per cell]
Os: 0.250 0.250 0.250 [4 per cell]



(19)
A plane-wave DFT calculation with GGA-PBE was carried out for a relaxed structure of Ti5Nb2Co2Os.

Computed properties:
Energy of formation from the pure elements ... -242.5 kJ/mol of formula units

Cell lengths 10.165, 10.165, 3.047 Å; angles 90.00, 90.00, 90.00 degrees
Space group P4/mbm (No. 127)
Asymmetric unit:
Ti: 0.000 0.500 0.000 [2 per cell]
Ti: 0.059 0.203 0.000 [8 per cell]
Nb: 0.177 0.677 0.500 [4 per cell]
Co: 0.128 0.372 0.500 [4 per cell]
Os: 0.000 0.000 0.500 [2 per cell]



(20)
A plane-wave DFT calculation with GGA-PBE was carried out for a relaxed structure of TiNbCoOs.

Computed properties:
Energy of formation from the pure elements ... -133.0 kJ/mol of formula units

Cell lengths 6.212, 6.212, 6.212 Å; angles 90.00, 90.00, 90.00 degrees
Space group F-43m (No. 216)
Asymmetric unit:
Ti: 0.000 0.000 0.000 [4 per cell]
Nb: 0.000 0.000 0.500 [4 per cell]
Co: 0.250 0.250 0.750 [4 per cell]
Os: 0.250 0.250 0.250 [4 per cell]



(21)
A plane-wave DFT calculation with GGA-PBE was carried out for a relaxed structure of NbVCoOs.

Computed properties:
Energy of formation from the pure elements ... -44.1 kJ/mol of formula units

Cell lengths 6.143, 6.143, 6.143 Å; angles 90.00, 90.00, 90.00 degrees
Space group F-43m (No. 216)
Asymmetric unit:
Nb: 0.000 0.000 0.000 [4 per cell]
V: 0.000 0.000 0.500 [4 per cell]
Co: 0.250 0.250 0.750 [4 per cell]
Os: 0.250 0.250 0.250 [4 per cell]



(22)
A plane-wave DFT calculation with GGA-PBE was carried out for a relaxed structure of ZrNbCoOs.

Computed properties:
Energy of formation from the pure elements ... -98.7 kJ/mol of formula units

Cell lengths 6.408, 6.408, 6.408 Å; angles 90.00, 90.00, 90.00 degrees
Space group F-43m (No. 216)
Asymmetric unit:
Zr: 0.000 0.000 0.000 [4 per cell]
Nb: 0.000 0.000 0.500 [4 per cell]
Co: 0.250 0.250 0.250 [4 per cell]
Os: 0.250 0.250 0.750 [4 per cell]



(23)
A plane-wave DFT calculation with GGA-PBE was carried out for a relaxed structure of NbCoP2.

Computed properties:
Energy of formation from the pure elements ... -124.5 kJ/mol of formula units

Cell lengths 3.4900, 3.4900, 16.1351 Å; angles 90.00, 90.00, 120.00 degrees
Space group R-3m (No. 166, hexagonal axes)
Asymmetric unit:
Nb: 0.0000 0.0000 0.0000 [3 per cell]
Co: 0.0000 0.0000 0.5000 [3 per cell]
P: 0.0000 0.0000 0.2350 [6 per cell]



(24)
A plane-wave DFT calculation with GGA-PBE was carried out for a relaxed structure of NbCoP2.

Computed properties:
Energy of formation from the pure elements ... -55.2 kJ/mol of formula units

Cell lengths 5.523, 5.523, 9.453 Å; angles 90.00, 90.00, 90.00 degrees
Space group I-42d (No. 122)
Asymmetric unit:
Nb: 0.000 0.000 0.000 [4 per cell]
Co: 0.000 0.000 0.500 [4 per cell]
P: 0.206 0.250 0.625 [8 per cell]



(25)
A plane-wave DFT calculation with GGA-PBE was carried out for a relaxed structure of Nb2Co4P3.

Computed properties:
Energy of formation from the pure elements ... -672.6 kJ/mol of formula units

Cell lengths 11.9176, 11.9176, 3.6083 Å; angles 90.00, 90.00, 120.00 degrees
Space group P-62m (No. 189)
Asymmetric unit:
Nb: 0.0000 0.4471 0.0000 [3 per cell]
Nb: 0.0000 0.8236 0.5000 [3 per cell]
Nb: 0.3333 0.6667 0.0000 [2 per cell]
Co: 0.0000 0.0000 0.0000 [1 per cell]
Co: 0.0000 0.2746 0.5000 [3 per cell]
Co: 0.1298 0.6457 0.5000 [6 per cell]
Co: 0.1788 0.3697 0.0000 [6 per cell]
P: 0.0000 0.1749 0.0000 [3 per cell]
P: 0.0000 0.6490 0.0000 [3 per cell]
P: 0.1714 0.4830 0.5000 [6 per cell]



| no. | E (eV/atom) |
| --- | --- |
| 1 | -7.61 |
| 2 | -7.41 |
| 3 | -8.35 |
| 4 | -8.72 |
| 5 | -7.09 |
| 6 | -9.19 |
| 7 | -9.24 |
| 8 | -9.00 |
| 9 | -8.98 |
| 10 | -9.43 |
| 11 | -9.00 |
| 12 | -9.72 |
| 13 | -8.35 |
| 14 | -9.71 |
| 15 | -10.60 |
| 16 | -5.67 |
| 17 | -7.87 |
| 18 | -8.31 |
| 19 | -8.76 |
| 20 | -9.42 |
| 21 | -9.50 |
| 22 | -9.49 |
| 23 | -7.32 |
| 24 | -7.14 |
| 25 | -7.97 |